Entry 1:
First-principles (GGA-PBE) data for PuCdCu10 after structural relaxation, as listed in Alexandria.

a b c (Å): 4.0830 5.0135 8.6357
angles (deg): 90.00 90.00 90.00
Fractional coordinates of all 12 atoms:
Cu 0.5000 0.0000 0.5000
Cu 0.0000 0.5000 0.1794
Cu 0.5000 0.7521 0.2501
Cu 0.0000 0.0000 0.3428
Cu 0.0000 0.5000 0.8206
Cu 0.5000 0.2479 0.7499
Cu 0.0000 0.0000 0.6572
Cu 0.5000 0.7521 0.7499
Cu 0.5000 0.5000 0.0000
Cu 0.5000 0.2479 0.2501
Cd 0.0000 0.5000 0.5000
Pu 0.0000 0.0000 0.0000

## Properties
Total energy   -4.664 eV per atom
Energy of formation from the pure elements   0.0204 eV/atom

---

Entry 2:
First-principles (GGA-PBE) data for Pu2CdCu after structural relaxation, as listed in Alexandria.

a b c (Å): 3.8445 3.8445 6.3301
angles (deg): 90.00 90.00 90.00
Fractional coordinates of all 4 atoms:
Cd 0.5000 0.5000 0.5000
Pu 0.0000 0.0000 0.7700
Pu 0.0000 0.0000 0.2300
Cu 0.5000 0.5000 0.0000

## Properties
Total energy   -8.301 eV per atom
Energy of formation from the pure elements   0.1181 eV/atom
Polymorph energy (0 for the lowest one)   0.0 meV per atom

---

Entry 3:
First-principles (GGA-PBE) data for PuCd3Cu8 after structural relaxation, as listed in Alexandria.

a b c (Å): 5.0793 5.0793 8.8498
angles (deg): 73.32 73.32 60.00
Fractional coordinates of all 12 atoms:
Pu 0.8754 0.8754 0.3737
Cu 0.4355 0.9371 0.6902
Cu 0.9371 0.4355 0.6902
Cu 0.9396 0.4391 0.1822
Cu 0.1874 0.1874 0.4378
Cu 0.6880 0.6880 0.9360
Cu 0.4391 0.4391 0.1822
Cu 0.9371 0.9371 0.6902
Cu 0.4391 0.9396 0.1822
Cd 0.4941 0.4941 0.5176
Cd 0.3741 0.3741 0.8778
Cd 0.0034 0.0034 0.9897

## Properties
Total energy   -4.166 eV per atom
Energy of formation from the pure elements   -0.0119 eV/atom
Polymorph energy (0 for the lowest one)   0.0 meV per atom

---

Entry 4:
First-principles (GGA-PBE) data for PuCd4Cu after structural relaxation, as listed in Alexandria.

a b c (Å): 4.2443 7.5115 8.4293
angles (deg): 90.00 90.00 90.00
Fractional coordinates of all 12 atoms:
Cd 0.5000 0.3117 0.9428
Cd 0.0000 0.0000 0.0000
Cd 0.5000 0.6883 0.4428
Cd 0.5000 0.9366 0.7500
Cd 0.0000 0.0000 0.5000
Cd 0.5000 0.3117 0.5572
Cd 0.5000 0.6883 0.0572
Cd 0.5000 0.0634 0.2500
Cu 0.0000 0.2124 0.7500
Cu 0.0000 0.7876 0.2500
Pu 0.0000 0.6021 0.7500
Pu 0.0000 0.3979 0.2500

## Properties
Total energy   -3.689 eV per atom
Energy of formation from the pure elements   -0.0075 eV/atom

---

Entry 5:
First-principles (GGA-PBE) data for Pu3CdCu8 after structural relaxation, as listed in Alexandria.

a b c (Å): 5.1994 5.1994 8.9530
angles (deg): 73.12 73.12 60.00
Fractional coordinates of all 12 atoms:
Cu 0.9365 0.4353 0.1929
Cu 0.4353 0.9365 0.1929
Cu 0.4431 0.9371 0.6828
Cu 0.9371 0.4431 0.6828
Cu 0.4353 0.4353 0.1929
Cu 0.6869 0.6869 0.9393
Cu 0.9371 0.9371 0.6828
Cu 0.1882 0.1882 0.4354
Pu 0.0016 0.0016 0.9951
Pu 0.3743 0.3743 0.8771
Pu 0.4993 0.4993 0.5022
Cd 0.8754 0.8754 0.3739

## Properties
Total energy   -6.406 eV per atom
Energy of formation from the pure elements   -0.0159 eV/atom

---

Entry 6:
First-principles (GGA-PBE) data for Pu2CdCu after structural relaxation, as listed in Alexandria.

a b c (Å): 3.0417 5.5651 5.5651
angles (deg): 90.00 90.00 90.00
Fractional coordinates of all 4 atoms:
Cd 0.5000 0.0000 0.0000
Cu 0.5000 0.5000 0.5000
Pu 0.0000 0.0000 0.5000
Pu 0.0000 0.5000 0.0000

## Properties
Total energy   -8.259 eV per atom
Energy of formation from the pure elements   0.1598 eV/atom
Polymorph energy (0 for the lowest one)   41.7 meV per atom

---

Entry 7:
First-principles (GGA-PBE) data for PuCd2Cu9 after structural relaxation, as listed in Alexandria.

a b c (Å): 5.0816 5.0816 8.5544
angles (deg): 72.72 72.72 60.00
Fractional coordinates of all 12 atoms:
Cd 0.8565 0.8565 0.4304
Cd 0.1435 0.1435 0.5696
Cu 0.5000 0.5000 0.5000
Cu 0.9182 0.4150 0.2518
Cu 0.4150 0.9182 0.2518
Cu 0.5850 0.0818 0.7482
Cu 0.3333 0.3333 0.0000
Cu 0.0818 0.5850 0.7482
Cu 0.5850 0.5850 0.7482
Cu 0.6667 0.6667 0.0000
Cu 0.4150 0.4150 0.2518
Pu 0.0000 0.0000 0.0000

## Properties
Total energy   -4.452 eV per atom
Energy of formation from the pure elements   -0.0332 eV/atom

---

Entry 8:
First-principles (GGA-PBE) data for PuCd3Cu8 after structural relaxation, as listed in Alexandria.

a b c (Å): 5.0934 5.0934 8.3142
angles (deg): 90.00 90.00 120.00
Fractional coordinates of all 12 atoms:
Cu 0.9960 0.4980 0.7547
Cu 0.3333 0.6667 0.5007
Cu 0.3333 0.6667 0.9973
Cu 0.1667 0.8333 0.2474
Cu 0.6666 0.8333 0.2474
Cu 0.5020 0.4980 0.7547
Cu 0.1667 0.3334 0.2474
Cu 0.5020 0.0040 0.7547
Cd 0.6667 0.3333 0.0581
Cd 0.0000 0.0000 0.9536
Cd 0.6667 0.3333 0.4193
Pu 0.0000 0.0000 0.5647

## Properties
Total energy   -4.159 eV per atom
Energy of formation from the pure elements   -0.0055 eV/atom
Polymorph energy (0 for the lowest one)   6.4 meV per atom